Run 1
K2MgTe after structural relaxation, computed with GGA-PBE.

abc: 5.1863 5.1863 11.3030
angles: 90.00 90.00 90.00
With the nearest neighbours (Å) after each atom.
Space group I-4m2 (No. 119)
Unique sites:
K (0.0000, 0.0000, 0.0000) [2 per cell]  4 Te 3.67, 4 K 3.84, 4 Mg 3.84
K (0.0000, 0.5000, 0.2500) [2 per cell]  4 Mg 3.67, 4 K 3.84, 4 Te 3.84
Mg (0.0000, 0.5000, 0.7500) [2 per cell]  8 K 3.67-3.84, 4 Te 3.84
Te (0.0000, 0.0000, 0.5000) [2 per cell]  8 K 3.67-3.84, 4 Mg 3.84

Properties
The value obtained for the calculated volume is 38.0 Å³ per atom.

Run 2
K2MgTe after structural relaxation, computed with GGA-PBE.

abc: 8.4870 8.4870 8.4870
angles: 90.00 90.00 90.00
With the nearest neighbours (Å) after each atom.
Space group Fm-3m (No. 225)
Unique sites:
K (0.2500, 0.2500, 0.2500) [8 per cell]  4 Te 3.67, 4 Mg 3.67
Mg (0.0000, 0.0000, 0.0000) [4 per cell]  8 K 3.67
Te (0.0000, 0.0000, 0.5000) [4 per cell]  8 K 3.67

Properties
The value obtained for the calculated volume is 38.2 Å³ per atom.

Run 3
K2MgTe after structural relaxation, computed with GGA-PBE.

abc: 4.6403 4.6403 7.0601
angles: 90.00 90.00 90.00
With the nearest neighbours (Å) after each atom.
Space group P4/mmm (No. 123)
Unique sites:
K (0.0000, 0.0000, 0.2199) [2 per cell]  1 K 3.10
Mg (0.5000, 0.5000, 0.5000) [1 per cell]  2 Te 3.53, 8 K 3.83
Te (0.5000, 0.5000, 0.0000) [1 per cell]  2 Mg 3.53, 8 K 3.63

Properties
The value obtained for the calculated volume is 38.0 Å³ per atom.

Run 4
K2MgTe after structural relaxation, computed with GGA-PBE.

abc: 4.1775 4.1775 9.4861
angles: 90.00 90.00 90.00
With the nearest neighbours (Å) after each atom.
Space group P4mm (No. 99)
Unique sites:
K (0.0000, 0.0000, 0.0000) [1 per cell]  1 Mg 3.36, 4 Te 3.70
K (0.5000, 0.5000, 0.3905) [1 per cell]  1 Te 3.55, 4 Mg 3.82
Mg (0.0000, 0.0000, 0.6455) [1 per cell]  4 Te 3.16, 1 K 3.36
Te (0.5000, 0.5000, 0.7649) [1 per cell]  4 Mg 3.16

Properties
The value obtained for the calculated volume is 41.4 Å³ per atom.

Which of them is most stable? Easy: run 2.

Run 1
KMgTe after structural relaxation, computed with GGA-PBE.

abc: 4.6241 4.6241 6.3787
angles: 90.00 90.00 120.00
With the nearest neighbours (Å) after each atom.
Space group P3m1 (No. 156)
Unique sites:
K (0.0000, 0.0000, 0.0000) [1 per cell]  3 Te 3.62, 3 Mg 3.94
Mg (0.6667, 0.3333, 0.4534) [1 per cell]  3 Te 2.87
Te (0.3333, 0.6667, 0.6173) [1 per cell]  3 Mg 2.87

Properties
The value obtained for the calculated volume is 39.4 Å³ per atom.

Run 2
KMgTe after structural relaxation, computed with GGA-PBE.

abc: 5.4749 5.4749 7.4915
angles: 90.00 90.00 90.00
With the nearest neighbours (Å) after each atom.
Space group P4/nmm (No. 129, origin choice 2)
Unique sites:
K (0.2500, 0.2500, 0.1533) [2 per cell]  2 Te 3.59-3.91, 4 Mg 3.77
Mg (0.2500, 0.7500, 0.5000) [2 per cell]  4 Te 3.03
Te (0.2500, 0.2500, 0.6747) [2 per cell]  4 Mg 3.03

Properties
The value obtained for the calculated volume is 37.4 Å³ per atom.

Which of them is most stable? Easy: run 1.

Run 1
KMgTe after structural relaxation, computed with GGA-PBE.

abc: 7.6933 7.6933 7.6933
angles: 90.00 90.00 90.00
With the nearest neighbours (Å) after each atom.
Space group F-43m (No. 216)
Unique sites:
K (0.0000, 0.0000, 0.0000) [4 per cell]  4 Mg 3.33, 4 Te 3.33
Mg (0.2500, 0.2500, 0.7500) [4 per cell]  4 K 3.33
Te (0.2500, 0.2500, 0.2500) [4 per cell]  4 K 3.33

Properties
The value obtained for the calculated volume is 37.9 Å³ per atom.

Run 2
KMgTe after structural relaxation, computed with GGA-PBE.

abc: 4.0858 4.0858 12.6141
angles: 90.00 90.00 90.00
With the nearest neighbours (Å) after each atom.
Space group I4mm (No. 107)
Unique sites:
K (0.0000, 0.0000, 0.0000) [2 per cell]  1 Mg 3.50, 5 Te 3.69-3.90
Mg (0.0000, 0.0000, 0.2775) [2 per cell]  4 Te 3.02
Te (0.0000, 0.0000, 0.7076) [2 per cell]  4 Mg 3.02

Properties
The value obtained for the calculated volume is 35.1 Å³ per atom.

Which of them is most stable? Easy: run 2.

Run 1
KMgTe after structural relaxation, computed with GGA-PBE.

abc: 7.8614 7.8614 7.8614
angles: 90.00 90.00 90.00
With the nearest neighbours (Å) after each atom.
Space group F-43m (No. 216)
Unique sites:
K (0.0000, 0.0000, 0.0000) [4 per cell]  4 Te 3.40
Mg (0.0000, 0.0000, 0.5000) [4 per cell]  4 Te 3.40
Te (0.2500, 0.2500, 0.7500) [4 per cell]  4 K 3.40, 4 Mg 3.40

Properties
The value obtained for the calculated volume is 40.5 Å³ per atom.

Run 2
KMgTe after structural relaxation, computed with GGA-PBE.

abc: 5.0187 5.0187 5.0837
angles: 90.00 90.00 120.00
With the nearest neighbours (Å) after each atom.
Space group P3m1 (No. 156)
Unique sites:
K (0.0000, 0.0000, 0.0000) [1 per cell]  6 Te 3.85-3.86, 6 Mg 3.85-3.86
Mg (0.6667, 0.3333, 0.4995) [1 per cell]  3 Te 2.90
Te (0.3333, 0.6667, 0.5014) [1 per cell]  3 Mg 2.90

Properties
The value obtained for the calculated volume is 37.0 Å³ per atom.

Which of them is most stable? Easy: run 2.

Run 1
KMg3Ti after structural relaxation, computed with GGA-PBE.

abc: 5.6326 5.6326 5.6326
angles: 90.00 90.00 90.00
With the nearest neighbours (Å) after each atom.
Space group Pm-3m (No. 221)
Unique sites:
K (0.0000, 0.0000, 0.0000) [1 per cell]  12 Mg 3.98
Mg (0.0000, 0.5000, 0.5000) [3 per cell]  2 Ti 2.82
Ti (0.5000, 0.5000, 0.5000) [1 per cell]  6 Mg 2.82

Properties
The value obtained for the calculated volume is 35.7 Å³ per atom.

Run 2
KMg3Ti after structural relaxation, computed with GGA-PBE.

abc: 5.5634 5.5634 5.5634
angles: 90.00 90.00 90.00
With the nearest neighbours (Å) after each atom.
Space group Pm-3m (No. 221)
Unique sites:
K (0.0000, 0.0000, 0.0000) [1 per cell]  6 Mg 2.78
Mg (0.0000, 0.0000, 0.5000) [3 per cell]  2 K 2.78
Ti (0.5000, 0.5000, 0.5000) [1 per cell]  12 Mg 3.93

Properties
The value obtained for the calculated volume is 34.4 Å³ per atom.

Which of them is most stable? Easy: run 1.

Run 1
KMg3Tl3 after structural relaxation, computed with GGA-PBE.

abc: 9.3033 9.3033 5.3170
angles: 90.00 90.00 120.00
With the nearest neighbours (Å) after each atom.
Space group P6_3/m (No. 176)
Unique sites:
K (0.3333, 0.6667, 0.2500) [2 per cell]  9 Tl 3.44-3.52, 3 Mg 3.74
Mg (0.0225, 0.8093, 0.2500) [6 per cell]  4 Tl 3.09-3.35, 6 Mg 3.26-3.27
Tl (0.0754, 0.6438, 0.7500) [6 per cell]  4 Mg 3.09-3.35, 1 K 3.44

Properties
The value obtained for the calculated volume is 28.5 Å³ per atom.

Run 2
KMg3Tl3 after structural relaxation, computed with GGA-PBE.

abc: 8.1285 8.1285 8.1285
angles: 90.00 90.00 90.00
With the nearest neighbours (Å) after each atom.
Space group Pm-3n (No. 223)
Unique sites:
K (0.0000, 0.0000, 0.0000) [2 per cell]  12 Tl 4.54, 12 Mg 4.54
Mg (0.0000, 0.2500, 0.5000) [6 per cell]  4 Tl 2.87
Tl (0.0000, 0.5000, 0.2500) [6 per cell]  4 Mg 2.87

Properties
The value obtained for the calculated volume is 38.4 Å³ per atom.

Which of them is most stable? Easy: run 1.